No. 1
Computed, not measured: crystalline SrCd2Au at its relaxed geometry at the PBE level of DFT.

a b c (Å): 4.4990 4.4990 11.6829
angles (deg): 78.90 78.90 90.00
With the nearest neighbours (Å) after each atom.
Fractional coordinates of all 8 atoms:
Sr 0.2500 0.7500 0.5000  4 Au 3.18, 4 Cd 3.30
Sr 0.5000 0.5000 0.0000  4 Au 3.18, 4 Cd 3.30
Cd 0.3750 0.3325 0.7500  2 Cd 2.92, 2 Au 3.17
Cd 0.6675 0.1250 0.2500  2 Cd 2.92, 2 Au 3.17
Cd 0.8750 0.9175 0.7500  2 Cd 2.92, 2 Au 3.17
Cd 0.0825 0.6250 0.2500  2 Cd 2.92, 2 Au 3.17
Au 0.7500 0.2500 0.5000  4 Cd 3.17, 4 Sr 3.18
Au 0.0000 0.0000 0.0000  4 Cd 3.17, 4 Sr 3.18

Properties
As for the total DFT energy (no corrections): -15.55 eV/cell. The calculation puts the volume at 28.4 Å³ per atom. Its crystal system is tetragonal.


No. 2
Computed, not measured: crystalline CuReRh3 at its relaxed geometry at the PBE level of DFT.

a b c (Å): 4.3847 4.3847 4.3847
angles (deg): 90.00 90.00 90.00
With the nearest neighbours (Å) after each atom.
Fractional coordinates of all 5 atoms:
Rh 0.0000 0.0000 0.5000  2 Cu 2.19
Rh 0.0000 0.5000 0.0000  2 Cu 2.19
Rh 0.5000 0.0000 0.0000  2 Cu 2.19
Re 0.5000 0.5000 0.5000  12 Rh 3.10
Cu 0.0000 0.0000 0.0000  6 Rh 2.19

Properties
As for the total DFT energy (no corrections): -30.85 eV/cell. The calculation puts the volume at 16.9 Å³ per atom. Its crystal system is cubic. The distance to the lowest polymorph of the same formula is 225 meV per atom.


No. 3
Computed, not measured: crystalline KMgMo2 at its relaxed geometry at the PBE level of DFT.

a b c (Å): 4.8037 4.8037 4.8037
angles (deg): 60.00 60.00 60.00
With the nearest neighbours (Å) after each atom.
Fractional coordinates of all 4 atoms:
Mo 0.0000 0.0000 0.0000  4 Mo 2.94, 4 Mg 2.94
Mo 0.2500 0.2500 0.2500  4 K 2.94, 4 Mo 2.94
K 0.5000 0.5000 0.5000  4 Mg 2.94, 4 Mo 2.94
Mg 0.7500 0.7500 0.7500  4 K 2.94, 4 Mo 2.94

Properties
As for the total DFT energy (no corrections): -19.23 eV/cell. The calculation puts the volume at 19.6 Å³ per atom. Its crystal system is cubic.


No. 4
Computed, not measured: crystalline KNbV2 at its relaxed geometry at the PBE level of DFT.

a b c (Å): 4.7137 4.7137 9.5359
angles (deg): 75.69 75.69 90.00
With the nearest neighbours (Å) after each atom.
Fractional coordinates of all 8 atoms:
K 0.5000 0.5000 0.0000  4 V 3.24, 4 Nb 3.33
K 0.2500 0.7500 0.5000  4 V 3.24, 4 Nb 3.33
V 0.9428 0.6250 0.2500  2 V 2.44, 2 Nb 2.55
V 0.8750 0.0572 0.7500  2 V 2.44, 2 Nb 2.55
V 0.8072 0.1250 0.2500  2 V 2.44, 2 Nb 2.55
V 0.3750 0.1928 0.7500  2 V 2.44, 2 Nb 2.55
Nb 0.0000 0.0000 0.0000  4 V 2.55
Nb 0.7500 0.2500 0.5000  4 V 2.55

Properties
As for the total DFT energy (no corrections): -44.93 eV/cell. The calculation puts the volume at 24.8 Å³ per atom. Its crystal system is tetragonal. The distance to the lowest polymorph of the same formula is 272 meV per atom.


No. 5
Computed, not measured: crystalline Sb7Se8F35 at its relaxed geometry at the PBE level of DFT.

a b c (Å): 13.9661 11.3714 15.9140
angles (deg): 47.91 90.00 90.00
With the nearest neighbours (Å) after each atom.
Fractional coordinates of all 100 atoms:
F 0.3525 0.6102 0.2257  1 Sb 1.90
F 0.6723 0.7086 0.6085  1 Sb 1.91
F 0.4970 0.3477 0.6614  1 Sb 1.91
F 0.5000 0.5000 0.0000  2 Sb 2.16
F 0.3630 0.4901 0.4970  1 Sb 1.92
F 0.2415 0.7932 0.8436  1 Sb 2.00
F 0.4229 0.9651 0.2426  1 Sb 1.91
F 0.1475 0.6102 0.7257  1 Sb 1.90
F 0.6475 0.3898 0.7743  1 Sb 1.90
F 0.1969 0.6259 0.1175  1 Sb 1.91
F 0.2009 0.0358 0.8327  1 Sb 1.91
F 0.5101 0.3301 0.4986  1 Sb 1.95
F 0.8630 0.5099 0.0030  1 Sb 1.92
F 0.9899 0.3301 0.9986  1 Sb 1.95
F 0.8433 0.9329 0.7931  1 Sb 1.92
F 0.1723 0.2914 0.8915  1 Sb 1.91
F 0.4021 0.7361 0.9699  1 Sb 1.97
F 0.2225 0.9883 0.6175  1 Sb 1.91
F 0.6793 0.5070 0.1645  1 Sb 1.94
F 0.7775 0.0117 0.3825  1 Sb 1.91
F 0.0792 0.7419 0.2955  1 Sb 1.97
F 0.1697 0.3096 0.2864  1 Sb 1.93
F 0.8234 0.7599 0.4014  1 Sb 1.91
F 0.8277 0.7086 0.1085  1 Sb 1.91
F 0.5792 0.2581 0.2045  1 Sb 1.97
F 0.9971 0.6523 0.8386  1 Sb 1.91
F 0.6370 0.5099 0.5030  1 Sb 1.92
F 0.3207 0.4930 0.8355  1 Sb 1.94
F 0.1793 0.4930 0.3355  1 Sb 1.94
F 0.6697 0.6904 0.2136  1 Sb 1.93
F 0.7415 0.2068 0.6564  1 Sb 2.00
F 0.8406 0.5727 0.3286  1 Sb 1.94
F 0.5771 0.0349 0.7574  1 Sb 1.91
F 0.2585 0.7932 0.3436  1 Sb 2.00
F 0.1594 0.4273 0.6714  1 Sb 1.94
F 0.9229 0.0349 0.2574  1 Sb 1.91
F 0.0000 0.5000 0.5000  2 Sb 2.16
F 0.0771 0.9651 0.7426  1 Sb 1.91
F 0.8525 0.3898 0.2743  1 Sb 1.90
F 0.2991 0.0358 0.3327  1 Sb 1.91
F 0.8207 0.5070 0.6645  1 Sb 1.94
F 0.6969 0.3741 0.3825  1 Sb 1.91
F 0.3303 0.3096 0.7864  1 Sb 1.93
F 0.0030 0.3477 0.1614  1 Sb 1.91
F 0.3277 0.2914 0.3915  1 Sb 1.91
F 0.5030 0.6523 0.3386  1 Sb 1.91
F 0.1766 0.2401 0.5986  1 Sb 1.91
F 0.5979 0.2639 0.0301  1 Sb 1.97
F 0.7991 0.9642 0.1673  1 Sb 1.91
F 0.3234 0.2401 0.0986  1 Sb 1.91
F 0.9021 0.2639 0.5301  1 Sb 1.97
F 0.9208 0.2581 0.7045  1 Sb 1.97
F 0.3433 0.0671 0.7069  1 Sb 1.92
F 0.3406 0.4273 0.1714  1 Sb 1.94
F 0.7585 0.2068 0.1564  1 Sb 2.00
F 0.4208 0.7419 0.7955  1 Sb 1.97
F 0.0101 0.6699 0.0014  1 Sb 1.95
F 0.1567 0.0671 0.2069  1 Sb 1.92
F 0.3031 0.6259 0.6175  1 Sb 1.91
F 0.8303 0.6904 0.7136  1 Sb 1.93
F 0.8031 0.3741 0.8825  1 Sb 1.91
F 0.4899 0.6699 0.5014  1 Sb 1.95
F 0.1370 0.4901 0.9970  1 Sb 1.92
F 0.6766 0.7599 0.9014  1 Sb 1.91
F 0.2775 0.9883 0.1175  1 Sb 1.91
F 0.0979 0.7361 0.4699  1 Sb 1.97
F 0.6567 0.9329 0.2931  1 Sb 1.92
F 0.7225 0.0117 0.8825  1 Sb 1.91
F 0.7009 0.9642 0.6673  1 Sb 1.91
F 0.6594 0.5727 0.8286  1 Sb 1.94
Sb 0.3576 0.5980 0.9445  3 F 1.97-2.16
Sb 0.0000 0.5000 0.0000  6 F 1.91-1.95
Sb 0.1424 0.5980 0.4445  3 F 1.97-2.16
Sb 0.2093 0.0221 0.7194  6 F 1.91-2.00
Sb 0.7093 0.9779 0.7806  6 F 1.91-2.00
Sb 0.2907 0.0221 0.2194  6 F 1.91-2.00
Sb 0.5000 0.5000 0.5000  6 F 1.91-1.95
Sb 0.2371 0.4602 0.7551  6 F 1.90-1.94
Sb 0.7371 0.5398 0.7449  6 F 1.90-1.94
Sb 0.6424 0.4020 0.0555  3 F 1.97-2.16
Sb 0.7907 0.9779 0.2806  6 F 1.91-2.00
Sb 0.2629 0.4602 0.2551  6 F 1.90-1.94
Sb 0.8576 0.4020 0.5555  3 F 1.97-2.16
Sb 0.7629 0.5398 0.2449  6 F 1.90-1.94
Se 0.4833 0.1851 0.9356  2 Se 2.31
Se 0.9608 0.1812 0.9030  2 Se 2.31-2.33
Se 0.5392 0.1812 0.4030  2 Se 2.31-2.33
Se 0.0209 0.0313 0.0857  2 Se 2.31-2.33
Se 0.9833 0.8149 0.5644  2 Se 2.31
Se 0.5167 0.8149 0.0644  2 Se 2.31
Se 0.4175 0.0141 0.9201  2 Se 2.31
Se 0.9175 0.9859 0.5799  2 Se 2.31
Se 0.5209 0.9687 0.4143  2 Se 2.31-2.33
Se 0.0167 0.1851 0.4356  2 Se 2.31
Se 0.0825 0.0141 0.4201  2 Se 2.31
Se 0.4608 0.8188 0.5970  2 Se 2.31-2.33
Se 0.4791 0.0313 0.5857  2 Se 2.31-2.33
Se 0.0392 0.8188 0.0970  2 Se 2.31-2.33
Se 0.5825 0.9859 0.0799  2 Se 2.31
Se 0.9791 0.9687 0.9143  2 Se 2.31-2.33

Properties
As for the total DFT energy (no corrections): -441.37 eV/cell. The calculation puts the volume at 18.8 Å³ per atom. Its crystal system is monoclinic. The uncorrected formation energy is -1.969 eV per atom.


No. 6
Computed, not measured: crystalline Np2CrSi4Ir3 at its relaxed geometry at the PBE level of DFT.

a b c (Å): 4.1097 4.1097 9.9517
angles (deg): 90.00 90.00 90.00
With the nearest neighbours (Å) after each atom.
Fractional coordinates of all 10 atoms:
Ir 0.0000 0.5000 0.1271  5 Si 2.40-2.41
Ir 0.5000 0.0000 0.8729  5 Si 2.40-2.41
Ir 0.0000 0.0000 0.5000  4 Si 2.44
Si 0.5000 0.5000 0.0000  4 Ir 2.41
Si 0.0000 0.5000 0.3681  3 Ir 2.40-2.44, 2 Cr 2.44
Si 0.0000 0.0000 0.0000  4 Ir 2.41
Si 0.5000 0.0000 0.6319  3 Ir 2.40-2.44, 2 Cr 2.44
Np 0.5000 0.0000 0.2501  8 Si 3.13-3.23, 6 Ir 3.15-3.23, 2 Cr 3.23
Np 0.0000 0.5000 0.7499  8 Si 3.13-3.23, 6 Ir 3.15-3.23, 2 Cr 3.23
Cr 0.5000 0.5000 0.5000  4 Si 2.44

Properties
As for the total DFT energy (no corrections): -89.60 eV/cell. The calculation puts the volume at 16.8 Å³ per atom. Its crystal system is tetragonal. The uncorrected formation energy is -0.582 eV per atom.


- volume of number 5 (Sb7Se8F35)?
  18.8 Å³ per atom